Record 1
Here is a crystal of AsPtSe2O relaxed with PBEsol from the Alexandria database. Energies are from SCAN.

Values from the calculation:
- ΔE_f (raw): 0.952 eV per atom
- Raw total energy: -26.40 eV per atom
- Mass density: 6.3 g/cm3
- Total magnetic moment: 3.57 Bohr magnetons per cell
- Symmetry: P4/mmm

Cell: 4.6695 5.0126 5.0126 Å, 90.00 90.00 90.00°
With the nearest neighbours (Å) after each atom.
Sites, in units of the cell vectors:
Pt: 0.0000 0.0000 0.0000  2 As 2.33, 4 Se 2.51
Se: 0.0000 0.0000 0.5000  2 Pt 2.51
Se: 0.0000 0.5000 0.0000  2 Pt 2.51
O: 0.5000 0.5000 0.5000  8 Se 3.43, 4 As 3.54
As: 0.5000 0.0000 0.0000  2 Pt 2.33

***

Record 2
Here is a crystal of SrAs2PtO relaxed with PBEsol from the Alexandria database. Energies are from SCAN.

Values from the calculation:
- ΔE_f (raw): 1.844 eV per atom
- Raw total energy: -25.97 eV per atom
- Mass density: 4.6 g/cm3
- Total magnetic moment: 2.28 Bohr magnetons per cell
- Symmetry: P4/mmm

Cell: 5.2291 5.5669 5.5669 Å, 90.00 90.00 90.00°
With the nearest neighbours (Å) after each atom.
Sites, in units of the cell vectors:
O: 0.5000 0.5000 0.5000  8 As 3.82, 4 Pt 3.94
Pt: 0.5000 0.0000 0.0000  2 Sr 2.61
Sr: 0.0000 0.0000 0.0000  2 Pt 2.61, 4 As 2.78
As: 0.0000 0.5000 0.0000  2 Sr 2.78
As: 0.0000 0.0000 0.5000  2 Sr 2.78

***

Record 3
Here is a crystal of TlAs2PtO relaxed with PBEsol from the Alexandria database. Energies are from SCAN.

Values from the calculation:
- ΔE_f (raw): 0.459 eV per atom
- Raw total energy: -37.37 eV per atom
- Mass density: 10.8 g/cm3
- Total magnetic moment: 0.00 Bohr magnetons per cell
- Symmetry: P4/mmm

Cell: 4.4632 4.4632 4.3665 Å, 90.00 90.00 90.00°
With the nearest neighbours (Å) after each atom.
Sites, in units of the cell vectors:
As: 0.0000 0.5000 0.0000  2 O 2.23
Tl: 0.5000 0.5000 0.5000  8 As 3.12, 4 Pt 3.16
As: 0.5000 0.0000 0.0000  2 O 2.23
O: 0.0000 0.0000 0.0000  2 Pt 2.18, 4 As 2.23
Pt: 0.0000 0.0000 0.5000  2 O 2.18

***

Record 4
Here is a crystal of RbAs2SeO relaxed with PBEsol from the Alexandria database. Energies are from SCAN.

Values from the calculation:
- ΔE_f (raw): 0.215 eV per atom
- Raw total energy: -17.27 eV per atom
- Mass density: 5.4 g/cm3
- Total magnetic moment: 0.01 Bohr magnetons per cell
- Symmetry: P4/mmm

Cell: 4.4487 4.4487 5.1356 Å, 90.00 90.00 90.00°
With the nearest neighbours (Å) after each atom.
Sites, in units of the cell vectors:
As: 0.5000 0.0000 0.0000  2 O 2.22
Se: 0.0000 0.0000 0.5000  2 O 2.57
As: 0.0000 0.5000 0.0000  2 O 2.22
Rb: 0.5000 0.5000 0.5000  4 Se 3.15, 8 As 3.40
O: 0.0000 0.0000 0.0000  4 As 2.22

***

Record 5
Here is a crystal of RbAs2SeO relaxed with PBEsol from the Alexandria database. Energies are from SCAN.

Values from the calculation:
- ΔE_f (raw): -0.024 eV per atom
- Raw total energy: -17.51 eV per atom
- Mass density: 5.4 g/cm3
- Total magnetic moment: 0.00 Bohr magnetons per cell
- Symmetry: P4/mmm

Cell: 4.3771 4.3771 5.2979 Å, 90.00 90.00 90.00°
With the nearest neighbours (Å) after each atom.
Sites, in units of the cell vectors:
As: 0.0000 0.5000 0.0000  2 O 2.19
As: 0.5000 0.0000 0.0000  2 O 2.19
O: 0.0000 0.0000 0.0000  4 As 2.19
Rb: 0.0000 0.0000 0.5000  2 O 2.65
Se: 0.5000 0.5000 0.5000  4 Rb 3.10, 8 As 3.44

***

Record 6
Here is a crystal of Rb2ThAs2O8 relaxed with PBEsol from the Alexandria database. Energies are from SCAN.

Values from the calculation:
- ΔE_f (raw): -2.300 eV per atom
- Raw total energy: -19.81 eV per atom
- Mass density: 5.4 g/cm3
- Total magnetic moment: 0.00 Bohr magnetons per cell
- Symmetry: P2_1/c

Cell: 8.0201 9.6959 11.4541 Å, 90.00 90.00 110.95°
With the nearest neighbours (Å) after each atom.
Sites, in units of the cell vectors:
O: 0.4189 0.1328 0.6536  1 As 1.71
Th: 0.5224 0.7785 0.1382  8 O 2.35-2.52
As: 0.3289 0.8669 0.8669  4 O 1.71-1.72
O: 0.2955 0.2594 0.0145  1 As 1.71
As: 0.7869 0.8525 0.3606  4 O 1.71-1.72
O: 0.2045 0.2406 0.5145  1 As 1.71
Th: 0.0224 0.2785 0.3618  8 O 2.35-2.52
Rb: 0.6009 0.4541 0.3734  5 O 2.73-3.05
O: 0.7045 0.7406 0.9855  1 As 1.71
O: 0.7410 0.2281 0.2607  1 As 1.71
Rb: 0.8774 0.5427 0.1146  4 O 2.76-2.90
O: 0.2410 0.7281 0.2393  1 As 1.71
O: 0.1812 0.7523 0.4800  1 As 1.72
O: 0.7791 0.0125 0.1052  1 As 1.72
O: 0.9579 0.5066 0.3537  1 As 1.72
O: 0.2141 0.2498 0.7621  1 As 1.72
As: 0.6711 0.1331 0.1331  4 O 1.71-1.72
O: 0.6812 0.2523 0.0200  1 As 1.72
O: 0.9552 0.0219 0.3567  1 As 1.71
O: 0.2791 0.5125 0.3948  1 As 1.72
Rb: 0.1009 0.9541 0.1266  5 O 2.73-3.05
O: 0.3188 0.7477 0.9800  1 As 1.72
O: 0.7209 0.4875 0.6052  1 As 1.72
As: 0.2869 0.3525 0.1394  4 O 1.71-1.72
Rb: 0.3991 0.5459 0.6266  5 O 2.73-3.05
As: 0.7131 0.6475 0.8606  4 O 1.71-1.72
O: 0.7141 0.7498 0.7379  1 As 1.72
O: 0.2590 0.7719 0.7393  1 As 1.71
O: 0.5448 0.4781 0.8567  1 As 1.71
O: 0.5811 0.8672 0.3464  1 As 1.71
O: 0.0421 0.4934 0.6463  1 As 1.72
O: 0.0448 0.9781 0.6433  1 As 1.71
O: 0.5421 0.9934 0.8537  1 As 1.72
O: 0.9189 0.6328 0.8464  1 As 1.71
O: 0.8188 0.2477 0.5200  1 As 1.72
Rb: 0.6226 0.9573 0.6146  4 O 2.76-2.90
Th: 0.9776 0.7215 0.6382  8 O 2.35-2.52
Rb: 0.3774 0.0427 0.3854  4 O 2.76-2.90
Th: 0.4776 0.2215 0.8618  8 O 2.35-2.52
O: 0.4552 0.5219 0.1433  1 As 1.71
Rb: 0.1226 0.4573 0.8854  4 O 2.76-2.90
As: 0.1711 0.6331 0.3669  4 O 1.71-1.72
O: 0.0811 0.3672 0.1536  1 As 1.71
As: 0.2131 0.1475 0.6394  4 O 1.71-1.72
As: 0.8289 0.3669 0.6331  4 O 1.71-1.72
O: 0.4579 0.0066 0.1463  1 As 1.72
O: 0.2859 0.2502 0.2621  1 As 1.72
Rb: 0.8991 0.0459 0.8734  5 O 2.73-3.05
O: 0.7859 0.7502 0.2379  1 As 1.72
O: 0.7590 0.2719 0.7607  1 As 1.71
O: 0.7955 0.7594 0.4855  1 As 1.71
O: 0.2209 0.9875 0.8948  1 As 1.72